(1)
A relaxed Pr5NiPb3 crystal, computed with GGA-PBEsol.

Structure (POSCAR):
```
Pr5NiPb3
1.0
9.436 0.000 0.000
-4.718 8.172 0.000
0.000 0.000 6.848
Pr Ni Pb
10 2 6
direct
0.000 0.241 0.250
0.000 0.759 0.750
0.241 0.000 0.250
0.241 0.241 0.750
0.333 0.667 0.000
0.333 0.667 0.500
0.667 0.333 0.000
0.667 0.333 0.500
0.759 0.000 0.750
0.759 0.759 0.250
0.000 0.000 0.000
0.000 0.000 0.500
0.000 0.399 0.750
0.000 0.601 0.250
0.399 0.000 0.750
0.399 0.399 0.250
0.601 0.000 0.250
0.601 0.601 0.750
```

Calculated values
E: -5.41 eV/atom
DOS at the Fermi energy: 0.86 states/eV/atom
total magnetization: 0.0 μB per formula unit
E_form: -514 meV/atom

(2)
A relaxed NiPt4Pb crystal, computed with GGA-PBEsol.

Structure (POSCAR):
```
NiPt4Pb
1.0
0.000 3.722 3.722
3.722 0.000 3.722
3.722 3.722 0.000
Ni Pt Pb
1 4 1
direct
0.000 0.000 0.000
0.123 0.626 0.626
0.626 0.123 0.626
0.626 0.626 0.123
0.626 0.626 0.626
0.250 0.250 0.250
```

Calculated values
E: -6.12 eV/atom
DOS at the Fermi energy: 1.36 states/eV/atom
total magnetization: 0.7 μB per formula unit
E_form: 210 meV/atom

(3)
A relaxed Ni2PtPb crystal, computed with GGA-PBEsol.

Structure (POSCAR):
```
Ni2PtPb
1.0
3.968 0.000 0.000
0.000 3.968 0.000
0.000 0.000 3.665
Ni Pt Pb
2 1 1
direct
0.000 0.500 0.000
0.500 0.000 0.000
0.000 0.000 0.500
0.500 0.500 0.500
```

Calculated values
E: -5.80 eV/atom
DOS at the Fermi energy: 0.44 states/eV/atom
total magnetization: 0.0 μB per formula unit
E_form: 15 meV/atom

(4)
A relaxed Ni2PtPb crystal, computed with GGA-PBEsol.

Structure (POSCAR):
```
Ni2PtPb
1.0
-1.937 1.937 3.856
1.937 -1.937 3.856
1.937 1.937 -3.856
Ni Pt Pb
2 1 1
direct
0.000 0.000 0.000
0.750 0.250 0.500
0.500 0.500 0.000
0.250 0.750 0.500
```

Calculated values
E: -5.74 eV/atom
DOS at the Fermi energy: 0.84 states/eV/atom
total magnetization: 0.0 μB per formula unit
E_form: 75 meV/atom